Here is a geometry-optimized BeInTe2 structure from Alexandria via LeMat-Bulk. Energies are from PBE-GGA.

Values from the calculation:
M_tot ... 0.000 μB per formula unit
E_form (uncorrected) ... 150 meV/atom
Energy relative to the lowest polymorph listed for this composition ... 327 meV per atom

Unit cell a=3.6261 b=3.8554 c=14.8497 alpha=90.00 beta=90.00 gamma=90.00
Closest atoms and distances in Å follow each position.
Space group Imm2 (No. 44)
Inequivalent atoms, fractional coordinates:
Be 0.0000 0.0000 0.0000  6 Te 2.57-2.87
In 0.0000 0.5000 0.7482  6 Te 3.22-3.26
Te 0.0000 0.0000 0.5743  4 Be 2.87
Te 0.0000 0.5000 0.3770  2 Be 2.57

=====

Here is a geometry-optimized TmMg4Sc5 structure from Alexandria via LeMat-Bulk. Energies are from PBE-GGA.

Values from the calculation:
M_tot ... 0.000 μB per formula unit
Energy relative to the elements ... -0.02 eV per atom

Unit cell a=3.5427 b=3.5427 c=19.2162 alpha=90.00 beta=90.00 gamma=90.00
Closest atoms and distances in Å follow each position.
Space group P4/mmm (No. 123)
Inequivalent atoms, fractional coordinates:
Tm 0.0000 0.0000 0.0000  8 Sc 3.36, 4 Tm 3.54
Mg 0.0000 0.0000 0.2135  8 Sc 3.11-3.12
Mg 0.0000 0.0000 0.4039  8 Sc 3.10-3.11
Sc 0.5000 0.5000 0.1168  4 Mg 3.12, 4 Tm 3.36
Sc 0.5000 0.5000 0.3091  8 Mg 3.10-3.11
Sc 0.5000 0.5000 0.5000  8 Mg 3.11

=====

Here is a geometry-optimized BaP2IrSe8 structure from Alexandria via LeMat-Bulk. Energies are from PBE-GGA.

Values from the calculation:
M_tot ... 0.000 μB per formula unit
E_form (uncorrected) ... -408 meV/atom

Unit cell a=6.1598 b=6.1598 c=9.2599 alpha=90.00 beta=90.00 gamma=120.00
Closest atoms and distances in Å follow each position.
Space group P-3 (No. 147)
Inequivalent atoms, fractional coordinates:
Ba 0.0000 0.0000 0.0000  12 Se 3.57-3.67
P 0.3333 0.6667 0.7248  4 Se 2.20-2.30
Ir 0.0000 0.0000 0.5000  6 Se 2.51
Se 0.0304 0.6945 0.3334  1 P 2.30, 1 Ir 2.51
Se 0.3333 0.6667 0.9620  1 P 2.20

=====

Here is a geometry-optimized Ca3IrN structure from Alexandria via LeMat-Bulk. Energies are from PBE-GGA.

Values from the calculation:
M_tot ... 0.000 μB per formula unit
E_form (uncorrected) ... -407 meV/atom
Energy relative to the lowest polymorph listed for this composition ... 0 meV per atom

Unit cell a=4.7313 b=4.7313 c=4.7313 alpha=90.00 beta=90.00 gamma=90.00
Closest atoms and distances in Å follow each position.
Space group Pm-3m (No. 221)
Inequivalent atoms, fractional coordinates:
Ca 0.0000 0.0000 0.5000  2 N 2.37
Ir 0.5000 0.5000 0.5000  12 Ca 3.35
N 0.0000 0.0000 0.0000  6 Ca 2.37

=====

Here is a geometry-optimized TbPrY5Er2 structure from Alexandria via LeMat-Bulk. Energies are from PBE-GGA.

Values from the calculation:
M_tot ... 0.000 μB per formula unit
Energy relative to the elements ... 0.16 eV per atom

Unit cell a=5.6362 b=20.0793 c=10.5688 alpha=90.00 beta=90.00 gamma=90.00
Closest atoms and distances in Å follow each position.
Space group Cmc2_1 (No. 36)
Inequivalent atoms, fractional coordinates:
Tb 0.0000 0.0857 0.0000  5 Y 3.07-3.29
Pr 0.0000 0.3019 0.5641  2 Er 3.43-3.66, 6 Y 3.47-3.65, 2 Tb 3.67
Y 0.0000 0.0221 0.2871  2 Tb 3.12-3.29, 1 Y 3.46, 2 Er 3.47
Y 0.0000 0.1094 0.5752  6 Y 3.46-3.83, 4 Er 3.56-3.60, 1 Pr 3.87
Y 0.0000 0.1996 0.2556  4 Y 3.44-3.83, 2 Pr 3.47, 3 Er 3.53-3.84, 1 Tb 3.54
Y 0.0000 0.2206 0.8633  1 Tb 3.07, 1 Er 3.35, 2 Y 3.44
Y 0.0000 0.4837 0.5745  2 Tb 3.24, 3 Er 3.38-3.57, 2 Y 3.61
Er 0.0000 0.3873 0.8697  9 Y 3.35-3.67, 1 Pr 3.66
Er 0.0000 0.3903 0.2868  6 Y 3.38-3.68, 1 Pr 3.43, 2 Tb 3.64